This record from Alexandria via LeMat-Bulk describes a relaxed structure of PaSiPtRh. The functional is PBE-GGA.

Geometry as CIF:
```
data_PaSiPtRh
_chemical_formula_sum 'Pa2 Si2 Pt2 Rh2'
_symmetry_space_group_name_H-M 'P 1'
_symmetry_Int_Tables_number 1
_cell_length_a 3.9254
_cell_length_b 3.9254
_cell_length_c 9.4747
_cell_angle_alpha 90.00
_cell_angle_beta 90.00
_cell_angle_gamma 90.00
loop_
_symmetry_equiv_pos_as_xyz
'x,y,z'
loop_
_atom_site_label
_atom_site_fract_x
_atom_site_fract_y
_atom_site_fract_z
_atom_site_occupancy
Si1 0.0000 0.5000 0.3573 1
Si2 0.5000 0.0000 0.6427 1
Rh1 0.5000 0.5000 0.5000 1
Rh2 0.0000 0.0000 0.5000 1
Pa1 0.0000 0.5000 0.7784 1
Pa2 0.5000 0.0000 0.2216 1
Pt1 0.5000 0.0000 0.9056 1
Pt2 0.0000 0.5000 0.0944 1
```

Computed properties:
The calculation puts the formation energy from raw total energies at -0.965 eV/atom. As for the space-group type: P4/nmm. As for the total moment: 0.00 μB/atom. As for the density of states at the Fermi level: 3.040 states/eV/f.u.

=====

This record from Alexandria via LeMat-Bulk describes a relaxed structure of Pm5ErHg6. The functional is PBE-GGA.

Geometry as CIF:
```
data_Pm5ErHg6
_chemical_formula_sum 'Pm5 Er1 Hg6'
_symmetry_space_group_name_H-M 'P 1'
_symmetry_Int_Tables_number 1
_cell_length_a 5.3420
_cell_length_b 7.6283
_cell_length_c 8.4695
_cell_angle_alpha 90.00
_cell_angle_beta 71.62
_cell_angle_gamma 90.00
loop_
_symmetry_equiv_pos_as_xyz
'x,y,z'
loop_
_atom_site_label
_atom_site_fract_x
_atom_site_fract_y
_atom_site_fract_z
_atom_site_occupancy
Hg1 0.8374 0.2450 0.3252 1
Hg2 0.1626 0.7550 0.6748 1
Hg3 0.1626 0.2450 0.6748 1
Hg4 0.5000 0.2420 0.0000 1
Hg5 0.8374 0.7550 0.3252 1
Hg6 0.5000 0.7580 0.0000 1
Pm1 0.3311 0.5000 0.3377 1
Pm2 0.3336 0.0000 0.3329 1
Pm3 0.0000 0.5000 0.0000 1
Pm4 0.6664 0.0000 0.6671 1
Pm5 0.6689 0.5000 0.6623 1
Er1 0.0000 0.0000 0.0000 1
```

Computed properties:
As for the space-group type: Cmmm. As for the total moment: 0.19 μB/atom. As for the density of states at the Fermi level: 14.297 states/eV/f.u. For the formation energy, the calculation gives -0.472 eV/atom.

=====

This record from Alexandria via LeMat-Bulk describes a relaxed structure of Ba2Bi6O11. The functional is PBE-GGA.

Geometry as CIF:
```
data_Ba2Bi6O11
_chemical_formula_sum 'Ba2 Bi6 O11'
_symmetry_space_group_name_H-M 'P 1'
_symmetry_Int_Tables_number 1
_cell_length_a 4.0384
_cell_length_b 4.0384
_cell_length_c 23.7130
_cell_angle_alpha 88.98
_cell_angle_beta 88.98
_cell_angle_gamma 66.90
loop_
_symmetry_equiv_pos_as_xyz
'x,y,z'
loop_
_atom_site_label
_atom_site_fract_x
_atom_site_fract_y
_atom_site_fract_z
_atom_site_occupancy
O1 0.8574 0.8574 0.9114 1
O2 0.3330 0.3330 0.3270 1
O3 0.3738 0.3738 0.8472 1
O4 0.6670 0.6670 0.6730 1
O5 0.1812 0.1812 0.5915 1
O6 0.9624 0.9624 0.2389 1
O7 0.8188 0.8188 0.4085 1
O8 0.1426 0.1426 0.0886 1
O9 0.0376 0.0376 0.7611 1
O10 0.5000 0.5000 0.0000 1
O11 0.6262 0.6262 0.1528 1
Bi1 0.2225 0.2225 0.1792 1
Bi2 0.2570 0.2570 0.6930 1
Bi3 0.7775 0.7775 0.8208 1
Bi4 0.7430 0.7430 0.3070 1
Bi5 0.7336 0.7336 0.0632 1
Bi6 0.2664 0.2664 0.9368 1
Ba1 0.8207 0.8207 0.5727 1
Ba2 0.1793 0.1793 0.4273 1
```

Computed properties:
The calculation puts the formation energy from raw total energies at -1.306 eV/atom. As for the space-group type: C2/m. As for the total moment: 0.00 μB/atom.

=====

This record from Alexandria via LeMat-Bulk describes a relaxed structure of Hf4GeP. The functional is PBE-GGA.

Geometry as CIF:
```
data_Hf4GeP
_chemical_formula_sum 'Hf8 Ge2 P2'
_symmetry_space_group_name_H-M 'P 1'
_symmetry_Int_Tables_number 1
_cell_length_a 5.2910
_cell_length_b 6.4954
_cell_length_c 6.4954
_cell_angle_alpha 90.00
_cell_angle_beta 90.00
_cell_angle_gamma 90.00
loop_
_symmetry_equiv_pos_as_xyz
'x,y,z'
loop_
_atom_site_label
_atom_site_fract_x
_atom_site_fract_y
_atom_site_fract_z
_atom_site_occupancy
Hf1 0.5000 0.8366 0.6529 1
Hf2 0.0000 0.1634 0.6529 1
Hf3 0.5000 0.1634 0.3471 1
Hf4 0.5000 0.3471 0.8366 1
Hf5 0.0000 0.8366 0.3471 1
Hf6 0.0000 0.3471 0.1634 1
Hf7 0.5000 0.6529 0.1634 1
Hf8 0.0000 0.6529 0.8366 1
Ge1 0.7500 0.0000 0.0000 1
Ge2 0.2500 0.0000 0.0000 1
P1 0.2500 0.5000 0.5000 1
P2 0.7500 0.5000 0.5000 1
```

Computed properties:
As for the space-group type: P4/mcc. As for the total moment: 0.00 μB/atom. As for the density of states at the Fermi level: 2.534 states/eV/f.u. For the formation energy, the calculation gives -0.817 eV/atom. The offset from the most stable computed form comes out at 0.0 meV per atom.

=====

This record from Alexandria via LeMat-Bulk describes a relaxed structure of Mg2CSeN. The functional is PBE-GGA.

Geometry as CIF:
```
data_Mg2CSeN
_chemical_formula_sum 'Mg2 C1 Se1 N1'
_symmetry_space_group_name_H-M 'P 1'
_symmetry_Int_Tables_number 1
_cell_length_a 4.9677
_cell_length_b 4.9677
_cell_length_c 3.7939
_cell_angle_alpha 90.00
_cell_angle_beta 90.00
_cell_angle_gamma 90.00
loop_
_symmetry_equiv_pos_as_xyz
'x,y,z'
loop_
_atom_site_label
_atom_site_fract_x
_atom_site_fract_y
_atom_site_fract_z
_atom_site_occupancy
Se1 0.0000 0.0000 0.0000 1
Mg1 0.0000 0.5000 0.0000 1
Mg2 0.5000 0.0000 0.0000 1
C1 0.5000 0.5000 0.5000 1
N1 0.0000 0.0000 0.5000 1
```

Computed properties:
The calculation puts the formation energy from raw total energies at 1.619 eV/atom. As for the space-group type: P4/mmm. As for the total moment: 0.41 μB/atom. As for the density of states at the Fermi level: 2.901 states/eV/f.u.

=====

This record from Alexandria via LeMat-Bulk describes a relaxed structure of LiFeIr2. The functional is PBE-GGA.

Geometry as CIF:
```
data_LiFeIr2
_chemical_formula_sum 'Li1 Fe1 Ir2'
_symmetry_space_group_name_H-M 'P 1'
_symmetry_Int_Tables_number 1
_cell_length_a 8.8735
_cell_length_b 8.8735
_cell_length_c 8.8735
_cell_angle_alpha 17.46
_cell_angle_beta 17.46
_cell_angle_gamma 17.46
loop_
_symmetry_equiv_pos_as_xyz
'x,y,z'
loop_
_atom_site_label
_atom_site_fract_x
_atom_site_fract_y
_atom_site_fract_z
_atom_site_occupancy
Fe1 0.7500 0.7500 0.7500 1
Ir1 0.0026 0.0026 0.0026 1
Ir2 0.4974 0.4974 0.4974 1
Li1 0.2500 0.2500 0.2500 1
```

Computed properties:
As for the space-group type: R-3m. As for the total moment: 0.84 μB/atom. As for the density of states at the Fermi level: 3.378 states/eV/f.u. For the formation energy, the calculation gives -0.090 eV/atom.

=====

This record from Alexandria via LeMat-Bulk describes a relaxed structure of TmZnNi6. The functional is PBE-GGA.

Geometry as CIF:
```
data_TmZnNi6
_chemical_formula_sum 'Tm1 Zn1 Ni6'
_symmetry_space_group_name_H-M 'P 1'
_symmetry_Int_Tables_number 1
_cell_length_a 4.7016
_cell_length_b 4.7016
_cell_length_c 4.7016
_cell_angle_alpha 90.00
_cell_angle_beta 90.00
_cell_angle_gamma 90.00
loop_
_symmetry_equiv_pos_as_xyz
'x,y,z'
loop_
_atom_site_label
_atom_site_fract_x
_atom_site_fract_y
_atom_site_fract_z
_atom_site_occupancy
Ni1 0.0000 0.5000 0.7578 1
Ni2 0.0000 0.5000 0.2422 1
Ni3 0.2422 0.0000 0.5000 1
Ni4 0.5000 0.7578 0.0000 1
Ni5 0.7578 0.0000 0.5000 1
Ni6 0.5000 0.2422 0.0000 1
Zn1 0.0000 0.0000 0.0000 1
Tm1 0.5000 0.5000 0.5000 1
```

Computed properties:
As for the space-group type: Pm-3. As for the total moment: 0.12 μB/atom. As for the density of states at the Fermi level: 14.611 states/eV/f.u. For the formation energy, the calculation gives 0.005 eV/atom.

=====

This record from Alexandria via LeMat-Bulk describes a relaxed structure of SrGaOs2. The functional is PBE-GGA.

Geometry as CIF:
```
data_SrGaOs2
_chemical_formula_sum 'Sr2 Ga2 Os4'
_symmetry_space_group_name_H-M 'P 1'
_symmetry_Int_Tables_number 1
_cell_length_a 4.7582
_cell_length_b 4.7582
_cell_length_c 9.4271
_cell_angle_alpha 75.38
_cell_angle_beta 75.38
_cell_angle_gamma 90.00
loop_
_symmetry_equiv_pos_as_xyz
'x,y,z'
loop_
_atom_site_label
_atom_site_fract_x
_atom_site_fract_y
_atom_site_fract_z
_atom_site_occupancy
Os1 0.8750 0.5837 0.7500 1
Os2 0.4163 0.6250 0.2500 1
Os3 0.3750 0.6663 0.7500 1
Os4 0.3337 0.1250 0.2500 1
Sr1 0.0000 0.0000 0.0000 1
Sr2 0.7500 0.2500 0.5000 1
Ga1 0.5000 0.5000 0.0000 1
Ga2 0.2500 0.7500 0.5000 1
```

Computed properties:
As for the space-group type: I-42d. As for the total moment: 0.00 μB/atom. As for the density of states at the Fermi level: 2.200 states/eV/f.u. For the formation energy, the calculation gives 0.494 eV/atom.

=====

This record from Alexandria via LeMat-Bulk describes a relaxed structure of HfGa3Fe. The functional is PBE-GGA.

Geometry as CIF:
```
data_HfGa3Fe
_chemical_formula_sum 'Hf1 Ga3 Fe1'
_symmetry_space_group_name_H-M 'P 1'
_symmetry_Int_Tables_number 1
_cell_length_a 4.4111
_cell_length_b 4.4111
_cell_length_c 4.4111
_cell_angle_alpha 90.00
_cell_angle_beta 90.00
_cell_angle_gamma 90.00
loop_
_symmetry_equiv_pos_as_xyz
'x,y,z'
loop_
_atom_site_label
_atom_site_fract_x
_atom_site_fract_y
_atom_site_fract_z
_atom_site_occupancy
Fe1 0.0000 0.0000 0.0000 1
Hf1 0.5000 0.5000 0.5000 1
Ga1 0.0000 0.0000 0.5000 1
Ga2 0.0000 0.5000 0.0000 1
Ga3 0.5000 0.0000 0.0000 1
```

Computed properties:
As for the space-group type: Pm-3m. As for the total moment: 0.20 μB/atom. As for the density of states at the Fermi level: 3.545 states/eV/f.u. For the formation energy, the calculation gives 0.194 eV/atom. The offset from the most stable computed form comes out at 333.7 meV per atom.

=====

This record from Alexandria via LeMat-Bulk describes a relaxed structure of K2SbS2Br2. The functional is PBE-GGA.

Geometry as CIF:
```
data_K2SbS2Br2
_chemical_formula_sum 'K2 Sb1 S2 Br2'
_symmetry_space_group_name_H-M 'P 1'
_symmetry_Int_Tables_number 1
_cell_length_a 5.1209
_cell_length_b 5.1209
_cell_length_c 9.3233
_cell_angle_alpha 105.94
_cell_angle_beta 105.94
_cell_angle_gamma 90.00
loop_
_symmetry_equiv_pos_as_xyz
'x,y,z'
loop_
_atom_site_label
_atom_site_fract_x
_atom_site_fract_y
_atom_site_fract_z
_atom_site_occupancy
Br1 0.8324 0.8324 0.6649 1
Br2 0.1676 0.1676 0.3351 1
S1 0.0000 0.5000 0.0000 1
S2 0.5000 0.0000 0.0000 1
K1 0.3664 0.3664 0.7327 1
K2 0.6336 0.6336 0.2673 1
Sb1 0.0000 0.0000 0.0000 1
```

Computed properties:
The calculation puts the formation energy from raw total energies at -0.917 eV/atom. As for the space-group type: I4/mmm. As for the total moment: 0.00 μB/atom. As for the density of states at the Fermi level: 3.238 states/eV/f.u.

=====

This record from Alexandria via LeMat-Bulk describes a relaxed structure of TlTe2Au2S6. The functional is PBE-GGA.

Geometry as CIF:
```
data_TlTe2Au2S6
_chemical_formula_sum 'Tl1 Te2 Au2 S6'
_symmetry_space_group_name_H-M 'P 1'
_symmetry_Int_Tables_number 1
_cell_length_a 6.0071
_cell_length_b 8.7029
_cell_length_c 8.6218
_cell_angle_alpha 116.47
_cell_angle_beta 96.94
_cell_angle_gamma 63.10
loop_
_symmetry_equiv_pos_as_xyz
'x,y,z'
loop_
_atom_site_label
_atom_site_fract_x
_atom_site_fract_y
_atom_site_fract_z
_atom_site_occupancy
S1 0.8259 0.5721 0.1933 1
S2 0.5220 0.3387 0.1570 1
S3 0.1741 0.4279 0.8067 1
S4 0.1289 0.7949 0.5307 1
S5 0.8711 0.2051 0.4693 1
S6 0.4780 0.6613 0.8430 1
Te1 0.8127 0.3604 0.7870 1
Te2 0.1873 0.6396 0.2130 1
Au1 0.8500 0.4240 0.3710 1
Au2 0.1500 0.5760 0.6290 1
Tl1 0.5000 0.0000 0.5000 1
```

Computed properties:
The calculation puts the formation energy from raw total energies at 0.050 eV/atom. As for the space-group type: P-1. As for the total moment: 0.00 μB/atom. As for the density of states at the Fermi level: 3.598 states/eV/f.u.

=====

This record from Alexandria via LeMat-Bulk describes a relaxed structure of LiAcTb2Hg4. The functional is PBE-GGA.

Geometry as CIF:
```
data_LiAcTb2Hg4
_chemical_formula_sum 'Li1 Ac1 Tb2 Hg4'
_symmetry_space_group_name_H-M 'P 1'
_symmetry_Int_Tables_number 1
_cell_length_a 5.1876
_cell_length_b 5.1876
_cell_length_c 9.6853
_cell_angle_alpha 74.47
_cell_angle_beta 74.47
_cell_angle_gamma 60.00
loop_
_symmetry_equiv_pos_as_xyz
'x,y,z'
loop_
_atom_site_label
_atom_site_fract_x
_atom_site_fract_y
_atom_site_fract_z
_atom_site_occupancy
Tb1 0.7606 0.7606 0.7183 1
Tb2 0.2394 0.2394 0.2817 1
Li1 0.5000 0.5000 0.5000 1
Hg1 0.6087 0.6087 0.1738 1
Hg2 0.8718 0.8718 0.3847 1
Hg3 0.1282 0.1282 0.6153 1
Hg4 0.3913 0.3913 0.8262 1
Ac1 0.0000 0.0000 0.0000 1
```

Computed properties:
As for the space-group type: R-3m. As for the total moment: 0.00 μB/atom. As for the density of states at the Fermi level: 6.608 states/eV/f.u. For the formation energy, the calculation gives -0.427 eV/atom.